Record 1
Below is a relaxed TaPd2Cl crystal, with properties calculated at the PBE level.

* raw total energy: -5.654 eV per atom
* energy relative to the elements, uncorrected: 367 meV/atom
* space group: No. 122
* polymorph energy (0 for the lowest one): 0 meV/atom
* density of states at the Fermi level: 1.1 states/eV per cell
* crystal system: tetragonal
* total moment: 0.0 μB per cell

abc: 6.5749 6.5749 6.1421
angles: 57.64 57.64 90.00
Fractional coordinates of all 8 atoms:
Cl (0.5000, 0.5000, 0.0000)
Cl (0.2500, 0.7500, 0.5000)
Pd (0.6340, 0.1250, 0.2500)
Pd (0.1160, 0.6250, 0.2500)
Pd (0.3750, 0.3660, 0.7500)
Pd (0.8750, 0.8840, 0.7500)
Ta (0.0000, 0.0000, 0.0000)
Ta (0.7500, 0.2500, 0.5000)

---

Record 2
Below is a relaxed KCoCl crystal, with properties calculated at the PBE level.

* raw total energy: -2.981 eV per atom
* energy relative to the elements, uncorrected: 369 meV/atom
* space group: No. 216
* polymorph energy (0 for the lowest one): 395 meV/atom
* density of states at the Fermi level: 7.1 states/eV per cell
* crystal system: cubic
* total moment: 2.9 μB per cell

abc: 5.1214 5.1214 5.1214
angles: 60.00 60.00 60.00
Fractional coordinates of all 3 atoms:
K (0.5000, 0.5000, 0.5000)
Co (0.0000, 0.0000, 0.0000)
Cl (0.7500, 0.7500, 0.7500)